! EuPuBiPd (GGA-PBE, optimized geometry); values from VASP
! Mass density: 10.9 Mg/m³
! Calculated formation energy: -0.461 eV per atom
! SG: F-43m
&SYSTEM
  ibrav = 0, nat = 4, ntyp = 4
/
ATOMIC_SPECIES
Eu 151.96 Eu.upf
Bi 208.98 Bi.upf
Pd 106.42 Pd.upf
Pu 244.00 Pu.upf
CELL_PARAMETERS angstrom
5.357 0.000 0.000
2.678 4.639 0.000
2.678 1.546 4.374
ATOMIC_POSITIONS angstrom
Eu 2.678 1.546 1.093
Bi 5.357 3.093 2.187
Pd 0.000 0.000 0.000
Pu 8.035 4.639 3.280


! LiDyTh2S4 (GGA-PBE, optimized geometry); values from VASP
! Mass density: 7.3 Mg/m³
! Raw formation energy: -14.32 eV per formula unit
! SG: P2/m
&SYSTEM
  ibrav = 0, nat = 8, ntyp = 4
/
ATOMIC_SPECIES
Li 6.94 Li.upf
Dy 162.50 Dy.upf
Th 232.04 Th.upf
S 32.06 S.upf
CELL_PARAMETERS angstrom
3.869 0.000 0.000
0.000 7.074 -0.297
0.000 2.341 6.254
ATOMIC_POSITIONS angstrom
Li 1.935 3.537 -0.148
Dy 0.000 4.707 2.979
Th 0.000 2.341 6.254
Th 1.935 1.170 3.127
S 0.000 6.937 4.553
S 3.869 2.478 1.404
S 1.935 5.737 1.338
S 1.935 3.678 4.619


! Hf2ZrMnSb (GGA-PBE, optimized geometry); values from VASP
! Mass density: 7.4 Mg/m³
! Raw formation energy: 7.50 eV per formula unit
! SG: P4/mmm
&SYSTEM
  ibrav = 0, nat = 5, ntyp = 4
/
ATOMIC_SPECIES
Sb 121.76 Sb.upf
Mn 54.94 Mn.upf
Hf 178.49 Hf.upf
Zr 91.22 Zr.upf
CELL_PARAMETERS angstrom
5.177 0.000 0.000
0.000 5.202 0.000
0.000 0.000 5.177
ATOMIC_POSITIONS angstrom
Sb 0.000 0.000 0.000
Mn 2.589 2.601 2.589
Hf 0.000 0.000 2.589
Hf 2.589 0.000 0.000
Zr 0.000 2.601 0.000


! MoHN2 (GGA-PBE, optimized geometry); values from VASP
! Mass density: 5.1 Mg/m³
! Energy relative to the lowest polymorph listed for this composition: 56.5 kJ/mol of atoms
! SG: I-42d
&SYSTEM
  ibrav = 0, nat = 8, ntyp = 3
/
ATOMIC_SPECIES
H 1.01 H.upf
Mo 95.94 Mo.upf
N 14.01 N.upf
CELL_PARAMETERS angstrom
-3.664 -0.886 -2.094
-2.073 -0.331 3.767
-3.812 3.641 0.690
ATOMIC_POSITIONS angstrom
H -2.869 -0.608 0.836
H -4.377 1.351 2.647
Mo 0.000 0.000 0.000
Mo -5.172 1.073 -0.284
N -3.437 0.331 -0.628
N -2.772 0.577 2.228
N -5.047 2.268 1.212
N -7.842 1.672 1.914


! CaLuSiAg (GGA-PBE, optimized geometry); values from VASP
! Mass density: 6.5 Mg/m³
! Raw formation energy: -1.60 eV per formula unit
! SG: F-43m
&SYSTEM
  ibrav = 0, nat = 4, ntyp = 4
/
ATOMIC_SPECIES
Ca 40.08 Ca.upf
Lu 174.97 Lu.upf
Si 28.09 Si.upf
Ag 107.87 Ag.upf
CELL_PARAMETERS angstrom
5.024 0.000 0.000
2.512 4.351 0.000
2.512 1.450 4.102
ATOMIC_POSITIONS angstrom
Ca 0.000 0.000 0.000
Lu 5.024 2.901 2.051
Si 7.536 4.351 3.077
Ag 2.512 1.450 1.026


! AlSn2Bi (GGA-PBE, optimized geometry); values from VASP
! Mass density: 6.9 Mg/m³
! Energy relative to the lowest polymorph listed for this composition: 2.1 kJ/mol of atoms
! Calculated formation energy: 0.131 eV per atom
! SG: R3m
&SYSTEM
  ibrav = 0, nat = 4, ntyp = 3
/
ATOMIC_SPECIES
Al 26.98 Al.upf
Sn 118.71 Sn.upf
Bi 208.98 Bi.upf
CELL_PARAMETERS angstrom
4.451 0.000 0.000
2.226 3.855 0.000
2.226 1.285 6.661
ATOMIC_POSITIONS angstrom
Al 6.677 3.855 6.614
Sn 2.226 1.285 5.357
Sn 2.226 1.285 1.381
Bi 4.451 2.570 3.299


! PmAgSe2 (GGA-PBE, optimized geometry); values from VASP
! Mass density: 7.7 Mg/m³
! Raw formation energy: -3.93 eV per formula unit
! SG: P4/mmm
&SYSTEM
  ibrav = 0, nat = 4, ntyp = 3
/
ATOMIC_SPECIES
Se 78.96 Se.upf
Ag 107.87 Ag.upf
Pm 145.00 Pm.upf
CELL_PARAMETERS angstrom
3.741 0.000 0.000
0.000 4.882 0.000
0.000 0.000 4.882
ATOMIC_POSITIONS angstrom
Se 0.000 0.000 2.441
Se 0.000 2.441 0.000
Ag 1.870 2.441 2.441
Pm 1.870 0.000 0.000


! Pr2TmSn2 (GGA-PBE, optimized geometry); values from VASP
! Mass density: 7.3 Mg/m³
! Energy relative to the lowest polymorph listed for this composition: 8.3 kJ/mol of atoms
! Calculated formation energy: -0.626 eV per atom
! SG: Cmc2_1
&SYSTEM
  ibrav = 0, nat = 10, ntyp = 3
/
ATOMIC_SPECIES
Pr 140.91 Pr.upf
Tm 168.93 Tm.upf
Sn 118.71 Sn.upf
CELL_PARAMETERS angstrom
5.119 0.000 0.000
0.000 6.600 0.000
-2.559 0.000 9.220
ATOMIC_POSITIONS angstrom
Pr 0.000 4.796 0.001
Pr 2.559 3.150 5.622
Pr 0.000 6.450 3.598
Pr 2.559 1.496 9.219
Tm 0.000 6.445 7.345
Tm 2.559 3.145 1.876
Sn 0.000 3.146 7.815
Sn 2.559 6.449 5.814
Sn 0.000 3.149 3.406
Sn 2.559 6.446 1.406